--- A ---
Material: Pu3SnRh2
Method: DFT, PBE-GGA
State: optimized geometry

POSCAR file:
```
Pu3SnRh2
1.0
-2.9253 -1.5346 -3.2660
-2.7819 -1.2628 3.0850
-1.1666 6.1424 1.4623
Pu Sn Rh
3 1 2
direct
0.6798 0.0000 0.3597 Pu
0.5000 0.5000 0.0000 Pu
0.3202 0.0000 0.6403 Pu
0.0000 0.0000 0.0000 Sn
0.1611 0.5000 0.3223 Rh
0.8388 0.5000 0.6777 Rh
```

* total magnetic moment: 5.38 μB/f.u.

--- B ---
Material: Pu3SnRh2
Method: DFT, PBE-GGA
State: optimized geometry

POSCAR file:
```
Pu3SnRh2
1.0
5.0276 0.0000 0.0000
0.0000 7.6211 0.0000
-2.5138 -3.8105 6.8771
Rh Pu Sn
4 6 2
direct
0.3580 0.3580 0.7160 Rh
0.6420 0.1420 0.2840 Rh
0.3580 0.8580 0.7160 Rh
0.6420 0.6420 0.2840 Rh
0.1921 0.9421 0.3842 Pu
0.8079 0.5579 0.6158 Pu
0.8079 0.0579 0.6158 Pu
0.1921 0.4421 0.3842 Pu
0.5000 0.2500 0.0000 Pu
0.5000 0.7500 0.0000 Pu
0.0000 0.5000 0.0000 Sn
0.0000 0.0000 0.0000 Sn
```

* total magnetic moment: 15.48 μB/f.u.

The winner here is B, beating the second structure by 6 meV per atom.

--- A ---
Material: PuTaRh
Method: DFT, PBE-GGA
State: optimized geometry

POSCAR file:
```
PuTaRh
1.0
3.1157 0.0000 0.0000
0.0000 3.1157 0.0000
-1.5578 -1.5578 5.9995
Pu Rh Ta
1 1 1
direct
0.0007 0.0007 0.0014 Pu
0.3112 0.3112 0.6224 Rh
0.6881 0.6881 0.3762 Ta
```

* total magnetic moment: 4.61 μB/f.u.

--- B ---
Material: PuTaRh
Method: DFT, PBE-GGA
State: optimized geometry

POSCAR file:
```
PuTaRh
1.0
2.9177 0.0000 0.0000
0.0000 4.6568 0.0000
0.0000 -2.3284 4.0329
Rh Pu Ta
1 1 1
direct
0.6834 0.6667 0.3333 Rh
0.0036 0.0000 0.0000 Pu
0.3130 0.3333 0.6667 Ta
```

* total magnetic moment: 5.16 μB/f.u.

The winner here is A, beating the second structure by 160 meV per atom.

--- A ---
Material: TbPu2Rh
Method: DFT, PBE-GGA
State: optimized geometry

POSCAR file:
```
TbPu2Rh
1.0
-1.1243 0.9166 -3.2688
-3.2583 -1.2582 0.7679
-2.0636 6.9697 2.6641
Tb Pu Rh
1 2 1
direct
0.5000 0.5000 0.5000 Tb
0.0000 0.0000 0.1979 Pu
0.0000 0.0000 0.8021 Pu
0.5000 0.5000 0.0000 Rh
```

* total magnetic moment: 11.53 μB/f.u.

--- B ---
Material: TbPu2Rh
Method: DFT, PBE-GGA
State: optimized geometry

POSCAR file:
```
TbPu2Rh
1.0
3.5127 0.0000 0.0000
1.7564 3.0421 0.0000
1.7564 1.0140 10.1245
Pu Tb Rh
2 1 1
direct
0.1036 0.1036 0.6891 Pu
0.8964 0.8964 0.3109 Pu
0.0000 0.0000 0.0000 Tb
0.5000 0.5000 0.5000 Rh
```

* total magnetic moment: 11.51 μB/f.u.

The winner here is A, beating the second structure by 244 meV per atom.

--- A ---
Material: TbPuTlRh
Method: DFT, PBE-GGA
State: optimized geometry

POSCAR file:
```
TbPuTlRh
1.0
-0.4035 0.5221 -3.3393
-3.3705 -0.3129 0.3583
-0.6173 8.2042 1.3573
Tb Rh Tl Pu
1 1 1 1
direct
0.5000 0.5000 0.7758 Tb
0.0000 0.0000 0.5766 Rh
0.0000 0.0000 0.0696 Tl
0.5000 0.5000 0.3626 Pu
```

* total magnetic moment: 5.41 μB/f.u.

--- B ---
Material: TbPuTlRh
Method: DFT, PBE-GGA
State: optimized geometry

POSCAR file:
```
TbPuTlRh
1.0
5.1425 0.0000 0.0000
2.5712 4.4535 0.0000
2.5712 1.4845 4.1988
Pu Tl Rh Tb
1 1 1 1
direct
0.7500 0.7500 0.7500 Pu
0.0000 0.0000 0.0000 Tl
0.5000 0.5000 0.5000 Rh
0.2500 0.2500 0.2500 Tb
```

* total magnetic moment: 5.41 μB/f.u.

The winner here is A, beating the second structure by 170 meV per atom.